Record 1
Compound: KTlI2
Source: Alexandria
Functional: GGA-PBEsol
Structure: relaxed

density	5.73	g/cm³
M_tot	0.0	μB per cell
crystal system	cubic
relative energy among the computed polymorphs	0.000	eV per atom

```
data_KTlI2
_chemical_formula_sum 'K4 Tl4 I8'
_cell_length_a 8.323
_cell_length_b 8.323
_cell_length_c 8.323
_cell_angle_alpha 90.00
_cell_angle_beta 90.00
_cell_angle_gamma 90.00
_symmetry_space_group_name_H-M 'F m -3 m'
_symmetry_Int_Tables_number 225
_symmetry_space_group_name_Hall '-F 4 2 3'
loop_
_atom_site_label
_atom_site_fract_x
_atom_site_fract_y
_atom_site_fract_z
_atom_site_occupancy
K1 0.000 0.000 0.000 1
Tl1 0.000 0.000 0.500 1
I1 0.250 0.250 0.250 1
```

---

Record 2
Compound: FeNiMo2
Source: Alexandria
Functional: GGA-PBEsol
Structure: relaxed

density	9.86	g/cm³
M_tot	0.0	μB per cell
formation energy	0.24	eV/atom
crystal system	trigonal
relative energy among the computed polymorphs	0.218	eV per atom

```
data_FeNiMo2
_chemical_formula_sum 'Fe3 Ni3 Mo6'
_cell_length_a 2.6412
_cell_length_b 2.6412
_cell_length_c 25.6192
_cell_angle_alpha 90.00
_cell_angle_beta 90.00
_cell_angle_gamma 120.00
_symmetry_space_group_name_H-M 'R -3 m'
_symmetry_Int_Tables_number 166
_symmetry_space_group_name_Hall '-R 3 2"'
loop_
_atom_site_label
_atom_site_fract_x
_atom_site_fract_y
_atom_site_fract_z
_atom_site_occupancy
Fe1 0.0000 0.0000 0.0000 1
Ni1 0.0000 0.0000 0.5000 1
Mo1 0.0000 0.0000 0.2515 1
```

---

Record 3
Compound: RuC3Br2O3
Source: Alexandria
Functional: GGA-PBEsol
Structure: relaxed

density	3.00	g/cm³
M_tot	0.0	μB per cell
crystal system	monoclinic
E_tot	-256.813	eV/cell

```
data_RuC3Br2O3
_chemical_formula_sum 'Ru4 C12 Br8 O12'
_cell_length_a 10.503
_cell_length_b 7.582
_cell_length_c 9.985
_cell_angle_alpha 90.00
_cell_angle_beta 106.46
_cell_angle_gamma 90.00
_symmetry_space_group_name_H-M 'C 1 2/m 1'
_symmetry_Int_Tables_number 12
loop_
_symmetry_equiv_pos_as_xyz
'x,y,z'
'-x,-y,-z'
'-x,y,-z'
'x,-y,z'
'x+1/2,y+1/2,z'
'-x+1/2,-y+1/2,-z'
'-x+1/2,y+1/2,-z'
'x+1/2,-y+1/2,z'
loop_
_atom_site_label
_atom_site_fract_x
_atom_site_fract_y
_atom_site_fract_z
_atom_site_occupancy
Ru1 0.059 0.000 0.198 1
C1 0.089 0.177 0.334 1
C2 0.237 0.000 0.191 1
Br1 0.000 0.229 0.000 1
Br2 0.178 0.000 0.788 1
O1 0.105 0.286 0.417 1
O2 0.152 0.500 0.806 1
```